[1]
DFT (PBE) results for a geometry-optimized La2YAuC structure.

Cell lengths 5.208, 5.208, 4.801 Å; angles 90.00, 90.00, 90.00 degrees
Space group P4/mmm (No. 123)
Unique sites:
La (0.000, 0.500, 0.000)
Y (0.000, 0.000, 0.500)
Au (0.500, 0.500, 0.500)
C (0.000, 0.000, 0.000)

Output
Spin magnetization ... 0.000 μB/atom
Formation enthalpy at 0 K ... -299 meV per atom

=====

[2]
DFT (PBE) results for a geometry-optimized BeV2SbC structure.

Cell lengths 4.224, 4.224, 3.488 Å; angles 90.00, 90.00, 90.00 degrees
Space group P4/mmm (No. 123)
Unique sites:
Be (0.000, 0.000, 0.000)
V (0.000, 0.500, 0.500)
Sb (0.500, 0.500, 0.000)
C (0.000, 0.000, 0.500)

Output
Spin magnetization ... 0.000 μB/atom
Formation energy without anion corrections ... -43 meV/atom

=====

- What is the spin magnetization in the second record?
  0.000 μB/atom